## 1
BeCdOs2: relaxed, PBE.

Output
Volume   113 Å³/cell
Spin magnetization   0.00 μB/f.u.

Unit cell a=2.803 b=4.413 c=9.127 alpha=90.00 beta=90.00 gamma=90.00
Fractional coordinates of all 8 atoms:
Be1 0.000 0.000 0.000
Be2 0.500 0.500 0.500
Cd1 0.000 0.000 0.500
Cd2 0.500 0.500 0.000
Os1 0.000 0.500 0.290
Os2 0.000 0.500 0.710
Os3 0.500 0.000 0.210
Os4 0.500 0.000 0.790

## 2
BeCdOs2: relaxed, PBE.

Output
Volume   57 Å³/cell
Spin magnetization   0.00 μB/f.u.

Unit cell a=2.879 b=2.879 c=6.831 alpha=90.00 beta=90.00 gamma=90.00
Fractional coordinates of all 4 atoms:
Be1 0.000 0.000 0.000
Cd1 0.500 0.500 0.265
Os1 0.000 0.000 0.571
Os2 0.500 0.500 0.818

Which structure is the most stable? The one labeled 2.

## 1
Be2CdOs2: relaxed, PBE.

Output
Volume   135 Å³/cell
Spin magnetization   0.00 μB/f.u.

Unit cell a=7.085 b=7.085 c=2.693 alpha=90.00 beta=90.00 gamma=90.00
Fractional coordinates of all 10 atoms:
Be1 0.164 0.336 0.000
Be2 0.336 0.836 0.000
Be3 0.664 0.164 0.000
Be4 0.836 0.664 0.000
Cd1 0.000 0.000 0.500
Cd2 0.500 0.500 0.500
Os1 0.127 0.627 0.500
Os2 0.373 0.127 0.500
Os3 0.627 0.873 0.500
Os4 0.873 0.373 0.500

## 2
Be2CdOs2: relaxed, PBE.

Output
Volume   124 Å³/cell
Spin magnetization   0.00 μB/f.u.

Unit cell a=6.227 b=6.227 c=3.209 alpha=90.00 beta=90.00 gamma=90.00
Fractional coordinates of all 10 atoms:
Be1 0.120 0.380 0.000
Be2 0.380 0.880 0.000
Be3 0.620 0.120 0.000
Be4 0.880 0.620 0.000
Cd1 0.000 0.000 0.000
Cd2 0.500 0.500 0.000
Os1 0.165 0.665 0.500
Os2 0.335 0.165 0.500
Os3 0.665 0.835 0.500
Os4 0.835 0.335 0.500

## 3
Be2CdOs2: relaxed, PBE.

Output
Volume   144 Å³/cell
Spin magnetization   0.00 μB/f.u.

Unit cell a=4.181 b=4.181 c=8.254 alpha=90.00 beta=90.00 gamma=90.00
Fractional coordinates of all 10 atoms:
Be1 0.000 0.500 0.250
Be2 0.000 0.500 0.750
Be3 0.500 0.000 0.250
Be4 0.500 0.000 0.750
Cd1 0.000 0.000 0.000
Cd2 0.500 0.500 0.500
Os1 0.000 0.000 0.356
Os2 0.000 0.000 0.644
Os3 0.500 0.500 0.144
Os4 0.500 0.500 0.856

Which structure is the most stable? The one labeled 2.

## 1
Be3CdOs: relaxed, PBE.

Output
Volume   77 Å³/cell
Spin magnetization   0.00 μB/f.u.

Unit cell a=4.259 b=4.259 c=4.259 alpha=90.00 beta=90.00 gamma=90.00
Fractional coordinates of all 5 atoms:
Be1 0.000 0.000 0.500
Be2 0.000 0.500 0.000
Be3 0.500 0.000 0.000
Cd1 0.500 0.500 0.500
Os1 0.000 0.000 0.000

## 2
Be3CdOs: relaxed, PBE.

Output
Volume   74 Å³/cell
Spin magnetization   0.66 μB/f.u.

Unit cell a=4.193 b=4.193 c=4.193 alpha=90.00 beta=90.00 gamma=90.00
Fractional coordinates of all 5 atoms:
Be1 0.000 0.000 0.500
Be2 0.000 0.500 0.000
Be3 0.500 0.000 0.000
Cd1 0.000 0.000 0.000
Os1 0.500 0.500 0.500

Which structure is the most stable? The one labeled 1.